The following is a DFT calculation (PBE) of crystalline VPS3 at its relaxed geometry.

```
10
Lattice="-4.689 0.166 3.659 0.390 -4.160 -4.236 1.811 -5.526 4.194" Properties=species:S:1:pos:R:3 pbc="T T T"
V -1.282 -2.736 -1.636
V -3.017 -1.258 1.059
P 1.296 -4.861 3.498
P -3.784 -4.658 0.118
S -1.727 -7.217 2.844
S -0.761 -2.303 0.772
S -0.529 -4.529 4.452
S 1.205 -6.006 1.757
S -1.959 -4.990 -0.835
S -3.692 -3.514 1.859
```

Properties
Its calculated density is 2.8 g/cm3. As for the energy above the lowest structure with this stoichiometry: 0.000 eV per atom. As for the symmetry: C2/m. Its formation energy without anion corrections is -0.475 eV per atom. The value obtained for the electronic total energy is -5.857 eV per atom.